# Sm4Tm5Th2 | Alexandria | GGA-PBE | relaxed
data_Sm4Tm5Th2
_space_group_name_H-M_alt 'I m m m'
_space_group_IT_number 71
_space_group_name_Hall '-I 2 2'
_cell_length_a 3.462
_cell_length_b 7.626
_cell_length_c 28.346
_cell_angle_alpha 90.00
_cell_angle_beta 90.00
_cell_angle_gamma 90.00
loop_
_atom_site_label
_atom_site_fract_x
_atom_site_fract_y
_atom_site_fract_z
Sm1 0.000 0.000 0.107
Sm2 0.000 0.319 0.500
Tm1 0.000 0.255 0.302
Tm2 0.000 0.500 0.000
Th1 0.000 0.000 0.397
# - ΔE_f: 452.9 kJ/mol of formula units
# - Excess energy over the best structure of this formula in the dataset: 0.368 eV/atom